Computed, not measured: crystalline LiGe2H8 at its relaxed geometry at the PBE level of DFT.

The spin magnetization comes out at 0.0 μB per cell. For the raw total energy, the calculation gives -36.0 eV/f.u. For the density of states at the Fermi level, the calculation gives 2.89 states/eV per cell.

The space group is C2/m (No. 12) and the conventional cell measures 10.404, 4.716 and 5.161 Å, with angles of 90.00, 99.32 and 90.00 degrees. The distinct sites, in fractional coordinates, are Li at (0.000, 0.000, 0.000), Ge at (0.189, 0.000, 0.659), H at (0.117, 0.000, 0.358), H at (0.128, 0.257, 0.787) and H at (0.158, 0.500, 0.228).